# 1
# KBa3I (GGA-PBEsol, relaxed)
# Energy relative to the elements, uncorrected   7.70 kcal/mol of atoms
data_KBa3I
_space_group_name_H-M_alt 'P m -3 m'
_space_group_IT_number 221
_space_group_name_Hall '-P 4 2 3'
_cell_length_a 6.924
_cell_length_b 6.924
_cell_length_c 6.924
_cell_angle_alpha 90.00
_cell_angle_beta 90.00
_cell_angle_gamma 90.00
loop_
_atom_site_label
_atom_site_fract_x
_atom_site_fract_y
_atom_site_fract_z
K1 0.000 0.000 0.000
Ba1 0.000 0.000 0.500
I1 0.500 0.500 0.500

---

# 2
# KCr2Tc (GGA-PBEsol, relaxed)
# E above lowest polymorph   0.000 eV per atom
# ΔE_f   0.8724 eV per atom
data_KCr2Tc
_space_group_name_H-M_alt 'P 4/m m m'
_space_group_IT_number 123
_space_group_name_Hall '-P 4 2'
_cell_length_a 3.255
_cell_length_b 3.255
_cell_length_c 7.590
_cell_angle_alpha 90.00
_cell_angle_beta 90.00
_cell_angle_gamma 90.00
loop_
_atom_site_label
_atom_site_fract_x
_atom_site_fract_y
_atom_site_fract_z
K1 0.000 0.000 0.000
Cr1 0.500 0.500 0.371
Tc1 0.000 0.000 0.500

---

# 3
# MnPdC2N (GGA-PBEsol, relaxed)
# Energy relative to the elements, uncorrected   58.07 kcal/mol of atoms
data_MnPdC2N
_space_group_name_H-M_alt 'P 4/m m m'
_space_group_IT_number 123
_space_group_name_Hall '-P 4 2'
_cell_length_a 3.700
_cell_length_b 3.700
_cell_length_c 5.316
_cell_angle_alpha 90.00
_cell_angle_beta 90.00
_cell_angle_gamma 90.00
loop_
_atom_site_label
_atom_site_fract_x
_atom_site_fract_y
_atom_site_fract_z
Mn1 0.000 0.000 0.000
Pd1 0.000 0.000 0.500
C1 0.000 0.500 0.500
N1 0.500 0.500 0.000

---

# 4
# RbBa2Hf2 (GGA-PBEsol, relaxed)
# ΔE_f   0.5954 eV per atom
data_RbBa2Hf2
_space_group_name_H-M_alt 'I 4/m m m'
_space_group_IT_number 139
_space_group_name_Hall '-I 4 2'
_cell_length_a 4.056
_cell_length_b 4.056
_cell_length_c 27.601
_cell_angle_alpha 90.00
_cell_angle_beta 90.00
_cell_angle_gamma 90.00
loop_
_atom_site_label
_atom_site_fract_x
_atom_site_fract_y
_atom_site_fract_z
Rb1 0.000 0.000 0.000
Ba1 0.000 0.000 0.361
Hf1 0.000 0.500 0.250

---

# 5
# K2CoH4I4O14 (GGA-PBEsol, relaxed)
# E above lowest polymorph   0.000 eV per atom
data_K2CoH4I4O14
_space_group_name_H-M_alt 'P 1 21 1'
_space_group_IT_number 4
_cell_length_a 7.974
_cell_length_b 7.560
_cell_length_c 11.067
_cell_angle_alpha 90.00
_cell_angle_beta 90.54
_cell_angle_gamma 90.00
loop_
_space_group_symop_operation_xyz
'x,y,z'
'-x,y+1/2,-z'
loop_
_atom_site_label
_atom_site_fract_x
_atom_site_fract_y
_atom_site_fract_z
K1 0.246 0.000 0.248
K2 0.250 0.528 0.249
Co1 0.250 0.571 0.758
H1 0.152 0.903 0.709
H2 0.172 0.239 0.804
H3 0.316 0.908 0.811
H4 0.332 0.238 0.701
I1 0.002 0.755 0.508
I2 0.013 0.757 0.974
I3 0.492 0.749 0.527
I4 0.496 0.258 0.008
O1 0.031 0.953 0.605
O2 0.033 0.150 0.882
O3 0.053 0.591 0.627
O4 0.076 0.550 0.894
O5 0.201 0.263 0.091
O6 0.205 0.766 0.431
O7 0.220 0.838 0.774
O8 0.258 0.310 0.757
O9 0.295 0.261 0.409
O10 0.299 0.767 0.067
O11 0.425 0.550 0.612
O12 0.457 0.595 0.870
O13 0.463 0.140 0.616
O14 0.474 0.956 0.895

---

# 6
# CaHgRh (GGA-PBEsol, relaxed)
# ΔE_f   0.0222 eV per atom
data_CaHgRh
_space_group_name_H-M_alt 'F -4 3 m'
_space_group_IT_number 216
_space_group_name_Hall 'F -4 2 3'
_cell_length_a 6.530
_cell_length_b 6.530
_cell_length_c 6.530
_cell_angle_alpha 90.00
_cell_angle_beta 90.00
_cell_angle_gamma 90.00
loop_
_atom_site_label
_atom_site_fract_x
_atom_site_fract_y
_atom_site_fract_z
Ca1 0.000 0.000 0.000
Hg1 0.250 0.250 0.750
Rh1 0.000 0.000 0.500

---

# 7
# ReAsPBr2 (GGA-PBEsol, relaxed)
# E above lowest polymorph   0.401 eV per atom
# Energy relative to the elements, uncorrected   33.58 kcal/mol of atoms
data_ReAsPBr2
_space_group_name_H-M_alt 'P 4/m m m'
_space_group_IT_number 123
_space_group_name_Hall '-P 4 2'
_cell_length_a 4.787
_cell_length_b 4.787
_cell_length_c 5.100
_cell_angle_alpha 90.00
_cell_angle_beta 90.00
_cell_angle_gamma 90.00
loop_
_atom_site_label
_atom_site_fract_x
_atom_site_fract_y
_atom_site_fract_z
Re1 0.000 0.000 0.000
As1 0.500 0.500 0.000
P1 0.500 0.500 0.500
Br1 0.000 0.500 0.500

---

# 8
# CuRe2P (GGA-PBEsol, relaxed)
# ΔE_f   0.1570 eV per atom
data_CuRe2P
_space_group_name_H-M_alt 'C 1 m 1'
_space_group_IT_number 8
_cell_length_a 8.737
_cell_length_b 2.906
_cell_length_c 4.264
_cell_angle_alpha 90.00
_cell_angle_beta 107.24
_cell_angle_gamma 90.00
loop_
_space_group_symop_operation_xyz
'x,y,z'
'x,-y,z'
'x+1/2,y+1/2,z'
'x+1/2,-y+1/2,z'
loop_
_atom_site_label
_atom_site_fract_x
_atom_site_fract_y
_atom_site_fract_z
Cu1 0.000 0.000 0.000
Re1 0.249 0.000 0.841
Re2 0.483 0.000 0.486
P1 0.238 0.500 0.300

---

# 9
# SrSc2Cr (GGA-PBEsol, relaxed)
# E above lowest polymorph   0.000 eV per atom
# ΔE_f   0.3386 eV per atom
data_SrSc2Cr
_space_group_name_H-M_alt 'P 4/m m m'
_space_group_IT_number 123
_space_group_name_Hall '-P 4 2'
_cell_length_a 3.314
_cell_length_b 3.314
_cell_length_c 9.035
_cell_angle_alpha 90.00
_cell_angle_beta 90.00
_cell_angle_gamma 90.00
loop_
_atom_site_label
_atom_site_fract_x
_atom_site_fract_y
_atom_site_fract_z
Sr1 0.000 0.000 0.000
Sc1 0.500 0.500 0.331
Cr1 0.000 0.000 0.500

---

# 10
# KHgPt2 (GGA-PBEsol, relaxed)
# ΔE_f   0.1617 eV per atom
data_KHgPt2
_space_group_name_H-M_alt 'P 4 m m'
_space_group_IT_number 99
_cell_length_a 2.895
_cell_length_b 2.895
_cell_length_c 9.308
_cell_angle_alpha 90.00
_cell_angle_beta 90.00
_cell_angle_gamma 90.00
loop_
_space_group_symop_operation_xyz
'x,y,z'
'-y,x,z'
'-x,-y,z'
'y,-x,z'
'-x,y,z'
'y,x,z'
'x,-y,z'
'-y,-x,z'
loop_
_atom_site_label
_atom_site_fract_x
_atom_site_fract_y
_atom_site_fract_z
K1 0.000 0.000 0.000
Hg1 0.500 0.500 0.691
Pt1 0.000 0.000 0.466
Pt2 0.500 0.500 0.269

---

# 11
# CdCuW (GGA-PBEsol, relaxed)
# E above lowest polymorph   0.000 eV per atom
# ΔE_f   0.4191 eV per atom
data_CdCuW
_space_group_name_H-M_alt 'P 3 m 1'
_space_group_IT_number 156
_cell_length_a 2.7795
_cell_length_b 2.7795
_cell_length_c 6.9493
_cell_angle_alpha 90.00
_cell_angle_beta 90.00
_cell_angle_gamma 120.00
loop_
_space_group_symop_operation_xyz
'x,y,z'
'-y,x-y,z'
'-x+y,-x,z'
'-y,-x,z'
'-x+y,y,z'
'x,x-y,z'
loop_
_atom_site_label
_atom_site_fract_x
_atom_site_fract_y
_atom_site_fract_z
Cd1 0.0000 0.0000 0.0000
Cu1 0.3333 0.6667 0.6725
W1 0.6667 0.3333 0.3671

---

# 12
# Ca3ZrMo (GGA-PBEsol, relaxed)
# ΔE_f   1.2883 eV per atom
data_Ca3ZrMo
_space_group_name_H-M_alt 'P m -3 m'
_space_group_IT_number 221
_space_group_name_Hall '-P 4 2 3'
_cell_length_a 5.283
_cell_length_b 5.283
_cell_length_c 5.283
_cell_angle_alpha 90.00
_cell_angle_beta 90.00
_cell_angle_gamma 90.00
loop_
_atom_site_label
_atom_site_fract_x
_atom_site_fract_y
_atom_site_fract_z
Ca1 0.000 0.000 0.500
Zr1 0.500 0.500 0.500
Mo1 0.000 0.000 0.000

---

| no. | V (A^3/atom) | spin magnetization (μB per formula unit) |
| --- | --- | --- |
| 1 | 66.40 | 2.79 |
| 2 | 20.11 | 0.00 |
| 3 | 14.56 | 3.65 |
| 4 | 45.41 | 0.01 |
| 5 | 13.34 | 3.00 |
| 6 | 23.20 | 0.00 |
| 7 | 23.38 | 4.63 |
| 8 | 12.92 | 0.00 |
| 9 | 24.81 | 2.24 |
| 10 | 19.50 | 0.00 |
| 11 | 15.50 | 0.00 |
| 12 | 29.49 | 0.52 |